The following is a DFT calculation (GGA-PBE) of an optimized crystal structure of PmPr2SmEr4.

Summary:
- Energy of formation from the pure elements: 19.6 meV per atom
- Density: 7.9 g/cm³
- Final energy: -4.640 eV per atom
- Space-group type: No. 47
- Density of states at the Fermi level: 10.8 states/eV per cell

a = 5.1083 Å, b = 5.1326 Å, c = 9.9762 Å
α = 90.00°, β = 90.00°, γ = 90.00°
With the nearest neighbours (Å) after each atom.
Sites, in units of the cell vectors:
Pm: 0.0000 0.0000 0.0000  8 Er 3.57-3.58, 4 Pr 3.62
Pr: 0.0000 0.0000 0.5000  8 Er 3.57-3.58, 4 Sm 3.62
Pr: 0.5000 0.5000 0.0000  8 Er 3.57-3.58, 4 Pm 3.62
Sm: 0.5000 0.5000 0.5000  8 Er 3.57-3.58, 4 Pr 3.62
Er: 0.0000 0.5000 0.2504  2 Sm 3.57, 4 Pr 3.57-3.58, 2 Pm 3.58, 4 Er 3.62
Er: 0.0000 0.5000 0.7496  2 Sm 3.57, 4 Pr 3.57-3.58, 2 Pm 3.58, 4 Er 3.62
Er: 0.5000 0.0000 0.2502  4 Pr 3.57-3.58, 2 Pm 3.57, 2 Sm 3.58, 4 Er 3.62
Er: 0.5000 0.0000 0.7498  4 Pr 3.57-3.58, 2 Pm 3.57, 2 Sm 3.58, 4 Er 3.62



The following is a DFT calculation (GGA-PBE) of an optimized crystal structure of LiHg2F6.

Summary:
- Energy relative to the lowest polymorph listed for this composition: 0.52 kcal/mol of atoms
- Formation energy (no corrections): -14.26 eV per formula unit
- Density: 6.8 g/cm³
- Final energy: -3.112 eV per atom
- Space-group type: No. 14
- Density of states at the Fermi level: 7.1 states/eV per cell

a = 5.2054 Å, b = 5.9343 Å, c = 9.7379 Å
α = 90.00°, β = 122.13°, γ = 90.00°
With the nearest neighbours (Å) after each atom.
Sites, in units of the cell vectors:
Li: 0.0000 0.0000 0.0000  6 F 1.96-2.13
Li: 0.0000 0.5000 0.5000  6 F 1.96-2.13
Hg: 0.2519 0.0945 0.7155  5 F 2.20-2.44
Hg: 0.2519 0.4055 0.2155  5 F 2.20-2.44
Hg: 0.7481 0.5945 0.7845  5 F 2.20-2.44
Hg: 0.7481 0.9055 0.2845  5 F 2.20-2.44
F: 0.0514 0.0801 0.2262  1 Li 2.13, 2 Hg 2.20-2.22
F: 0.0514 0.4199 0.7262  1 Li 2.13, 2 Hg 2.20-2.22
F: 0.2503 0.7081 0.0815  1 Li 2.06, 1 Hg 2.22
F: 0.2503 0.7919 0.5815  1 Li 2.06, 1 Hg 2.22
F: 0.3770 0.1697 0.0851  1 Li 1.96
F: 0.3770 0.3303 0.5851  1 Li 1.96
F: 0.6230 0.6697 0.4149  1 Li 1.96
F: 0.6230 0.8303 0.9149  1 Li 1.96
F: 0.7497 0.2081 0.4185  1 Li 2.06, 1 Hg 2.22
F: 0.7497 0.2919 0.9185  1 Li 2.06, 1 Hg 2.22
F: 0.9486 0.5801 0.2738  1 Li 2.13, 2 Hg 2.20-2.22
F: 0.9486 0.9199 0.7738  1 Li 2.13, 2 Hg 2.20-2.22



The following is a DFT calculation (GGA-PBE) of an optimized crystal structure of CoSb3Te.

Summary:
- Energy relative to the lowest polymorph listed for this composition: 0.00 kcal/mol of atoms
- Formation energy (no corrections): -0.17 eV per formula unit
- Density: 7.0 g/cm³
- Final energy: -4.557 eV per atom
- Space-group type: No. 11
- Density of states at the Fermi level: 7.0 states/eV per cell

a = 4.0900 Å, b = 9.0899 Å, c = 7.3494 Å
α = 90.00°, β = 105.71°, γ = 90.00°
With the nearest neighbours (Å) after each atom.
Sites, in units of the cell vectors:
Co: 0.0000 0.0000 0.0000  6 Sb 2.47-2.57
Co: 0.0000 0.5000 0.0000  6 Sb 2.47-2.57
Sb: 0.0663 0.2500 0.1357  2 Co 2.47
Sb: 0.4051 0.0777 0.8041  2 Co 2.57
Sb: 0.4051 0.4223 0.8041  2 Co 2.57
Sb: 0.5949 0.5777 0.1959  2 Co 2.57
Sb: 0.5949 0.9223 0.1959  2 Co 2.57
Sb: 0.9337 0.7500 0.8643  2 Co 2.47
Te: 0.2862 0.7500 0.5613  2 Sb 2.96
Te: 0.7138 0.2500 0.4387  2 Sb 2.96



The following is a DFT calculation (GGA-PBE) of an optimized crystal structure of NaHfCl3.

Summary:
- Energy relative to the lowest polymorph listed for this composition: 0.00 kcal/mol of atoms
- Formation energy (no corrections): -5.80 eV per formula unit
- Density: 4.0 g/cm³
- Final energy: -4.522 eV per atom
- Space-group type: No. 221
- Density of states at the Fermi level: 2.6 states/eV per cell

a = 5.0258 Å, b = 5.0258 Å, c = 5.0258 Å
α = 90.00°, β = 90.00°, γ = 90.00°
With the nearest neighbours (Å) after each atom.
Sites, in units of the cell vectors:
Na: 0.0000 0.0000 0.0000  12 Cl 3.55
Hf: 0.5000 0.5000 0.5000  6 Cl 2.51
Cl: 0.0000 0.5000 0.5000  2 Hf 2.51
Cl: 0.5000 0.0000 0.5000  2 Hf 2.51
Cl: 0.5000 0.5000 0.0000  2 Hf 2.51



The following is a DFT calculation (GGA-PBE) of an optimized crystal structure of RbGaGe.

Summary:
- Energy of formation from the pure elements: -35.1 meV per atom
- Density: 3.5 g/cm³
- Final energy: -2.906 eV per atom
- Space-group type: No. 1
- Density of states at the Fermi level: 2.3 states/eV per cell

a = 4.3998 Å, b = 4.7981 Å, c = 10.5626 Å
α = 101.76°, β = 101.69°, γ = 90.00°
With the nearest neighbours (Å) after each atom.
Sites, in units of the cell vectors:
Rb: 0.0000 0.0000 0.0000  1 Ge 3.52, 6 Ga 3.57-3.83
Rb: 0.2945 0.3143 0.6069  5 Ge 3.54-3.72, 2 Ga 3.73
Ga: 0.5797 0.5483 0.1630  2 Ga 2.67-2.98, 3 Ge 2.76-2.89
Ga: 0.6506 0.1523 0.3098  2 Ga 2.67-2.98, 4 Ge 2.77-2.81
Ge: 0.1483 0.7862 0.3055  2 Ge 2.70-2.71, 4 Ga 2.76-2.81
Ge: 0.7166 0.7147 0.4476  2 Ge 2.70-2.71, 3 Ga 2.77-2.89



The following is a DFT calculation (GGA-PBE) of an optimized crystal structure of CaSn2Cl.

Summary:
- Energy relative to the lowest polymorph listed for this composition: 0.00 kcal/mol of atoms
- Formation energy (no corrections): -1.74 eV per formula unit
- Density: 3.7 g/cm³
- Final energy: -3.398 eV per atom
- Space-group type: No. 122
- Density of states at the Fermi level: 9.2 states/eV per cell

a = 7.7911 Å, b = 7.7911 Å, c = 7.7911 Å
α = 96.48°, β = 96.48°, γ = 140.75°
With the nearest neighbours (Å) after each atom.
Sites, in units of the cell vectors:
Ca: 0.0000 0.0000 0.0000  2 Cl 2.62
Ca: 0.7500 0.2500 0.5000  2 Cl 2.62
Sn: 0.1781 0.1250 0.5531  2 Sn 2.84
Sn: 0.3750 0.8219 0.9469  2 Sn 2.84
Sn: 0.5719 0.6250 0.4469  2 Sn 2.84
Sn: 0.8750 0.4281 0.0531  2 Sn 2.84
Cl: 0.2500 0.7500 0.5000  2 Ca 2.62
Cl: 0.5000 0.5000 0.0000  2 Ca 2.62



The following is a DFT calculation (GGA-PBE) of an optimized crystal structure of Rb3BrCl.

Summary:
- Energy relative to the lowest polymorph listed for this composition: 0.00 kcal/mol of atoms
- Formation energy (no corrections): -6.13 eV per formula unit
- Density: 2.3 g/cm³
- Final energy: -2.511 eV per atom
- Space-group type: No. 221
- Density of states at the Fermi level: 1.4 states/eV per cell

a = 6.4392 Å, b = 6.4392 Å, c = 6.4392 Å
α = 90.00°, β = 90.00°, γ = 90.00°
With the nearest neighbours (Å) after each atom.
Sites, in units of the cell vectors:
Rb: 0.0000 0.0000 0.5000  2 Cl 3.22
Rb: 0.0000 0.5000 0.0000  2 Cl 3.22
Rb: 0.5000 0.0000 0.0000  2 Cl 3.22
Br: 0.5000 0.5000 0.5000  12 Rb 4.55
Cl: 0.0000 0.0000 0.0000  6 Rb 3.22



The following is a DFT calculation (GGA-PBE) of an optimized crystal structure of TbUS3.

Summary:
- Energy relative to the lowest polymorph listed for this composition: 0.00 kcal/mol of atoms
- Formation energy (no corrections): -8.73 eV per formula unit
- Density: 7.7 g/cm³
- Final energy: -7.406 eV per atom
- Space-group type: No. 62
- Density of states at the Fermi level: 25.7 states/eV per cell

a = 7.3140 Å, b = 3.8948 Å, c = 15.0221 Å
α = 90.00°, β = 90.00°, γ = 90.00°
With the nearest neighbours (Å) after each atom.
Sites, in units of the cell vectors:
Tb: 0.2399 0.2500 0.0431  7 S 2.76-2.91
Tb: 0.2601 0.7500 0.5431  7 S 2.76-2.91
Tb: 0.7399 0.2500 0.4569  7 S 2.76-2.91
Tb: 0.7601 0.7500 0.9569  7 S 2.76-2.91
U: 0.1328 0.7500 0.2903  7 S 2.73-2.88
U: 0.3672 0.2500 0.7903  7 S 2.73-2.88
U: 0.6328 0.7500 0.2097  7 S 2.73-2.88
U: 0.8672 0.2500 0.7097  7 S 2.73-2.88
S: 0.0077 0.7500 0.1086  3 Tb 2.76-2.91, 1 U 2.88
S: 0.1248 0.2500 0.4298  3 Tb 2.77-2.84, 2 U 2.86, 1 S 3.03
S: 0.1472 0.7500 0.7222  4 U 2.73-2.83, 1 Tb 2.81, 1 S 3.03
S: 0.3528 0.2500 0.2222  4 U 2.73-2.83, 1 Tb 2.81, 1 S 3.03
S: 0.3752 0.7500 0.9298  3 Tb 2.77-2.84, 2 U 2.86, 1 S 3.03
S: 0.4923 0.2500 0.6086  3 Tb 2.76-2.91, 1 U 2.88
S: 0.5077 0.7500 0.3914  3 Tb 2.76-2.91, 1 U 2.88
S: 0.6248 0.2500 0.0702  3 Tb 2.77-2.84, 2 U 2.86, 1 S 3.03
S: 0.6472 0.7500 0.7778  4 U 2.73-2.83, 1 Tb 2.81, 1 S 3.03
S: 0.8528 0.2500 0.2778  4 U 2.73-2.83, 1 Tb 2.81, 1 S 3.03
S: 0.8752 0.7500 0.5702  3 Tb 2.77-2.84, 2 U 2.86, 1 S 3.03
S: 0.9923 0.2500 0.8914  3 Tb 2.76-2.91, 1 U 2.88



The following is a DFT calculation (GGA-PBE) of an optimized crystal structure of Li3TbCl6.

Summary:
- Energy relative to the lowest polymorph listed for this composition: 0.00 kcal/mol of atoms
- Formation energy (no corrections): -19.57 eV per formula unit
- Density: 2.7 g/cm³
- Final energy: -4.102 eV per atom
- Space-group type: No. 148
- Density of states at the Fermi level: 0.0 states/eV per cell

a = 7.8142 Å, b = 7.8142 Å, c = 7.8142 Å
α = 91.64°, β = 91.64°, γ = 91.64°
With the nearest neighbours (Å) after each atom.
Sites, in units of the cell vectors:
Li: 0.0600 0.5731 0.7476  3 Cl 2.48-2.61
Li: 0.2524 0.9400 0.4269  3 Cl 2.48-2.61
Li: 0.4269 0.2524 0.9400  3 Cl 2.48-2.61
Li: 0.5731 0.7476 0.0600  3 Cl 2.48-2.61
Li: 0.7476 0.0600 0.5731  3 Cl 2.48-2.61
Li: 0.9400 0.4269 0.2524  3 Cl 2.48-2.61
Tb: 0.0000 0.0000 0.0000  6 Cl 2.65
Tb: 0.5000 0.5000 0.5000  6 Cl 2.65
Cl: 0.0530 0.8864 0.6836  2 Li 2.51-2.61, 1 Tb 2.65
Cl: 0.1136 0.3164 0.9470  2 Li 2.51-2.61, 1 Tb 2.65
Cl: 0.1854 0.5803 0.4020  1 Li 2.48, 1 Tb 2.65
Cl: 0.3164 0.9470 0.1136  2 Li 2.51-2.61, 1 Tb 2.65
Cl: 0.4020 0.1854 0.5803  1 Li 2.48, 1 Tb 2.65
Cl: 0.4197 0.5980 0.8146  1 Li 2.48, 1 Tb 2.65
Cl: 0.5803 0.4020 0.1854  1 Li 2.48, 1 Tb 2.65
Cl: 0.5980 0.8146 0.4197  1 Li 2.48, 1 Tb 2.65
Cl: 0.6836 0.0530 0.8864  2 Li 2.51-2.61, 1 Tb 2.65
Cl: 0.8146 0.4197 0.5980  1 Li 2.48, 1 Tb 2.65
Cl: 0.8864 0.6836 0.0530  2 Li 2.51-2.61, 1 Tb 2.65
Cl: 0.9470 0.1136 0.3164  2 Li 2.51-2.61, 1 Tb 2.65



The following is a DFT calculation (GGA-PBE) of an optimized crystal structure of TbPm2Ag.

Summary:
- Energy relative to the lowest polymorph listed for this composition: 0.00 kcal/mol of atoms
- Energy of formation from the pure elements: -120.2 meV per atom
- Density: 7.8 g/cm³
- Final energy: -4.366 eV per atom
- Space-group type: No. 139
- Density of states at the Fermi level: 11.0 states/eV per cell

a = 9.5053 Å, b = 9.5053 Å, c = 9.5053 Å
α = 148.27°, β = 148.27°, γ = 45.48°
With the nearest neighbours (Å) after each atom.
Sites, in units of the cell vectors:
Tb: 0.1469 0.1469 0.0000  4 Ag 3.17
Tb: 0.8531 0.8531 0.0000  4 Ag 3.17
Pm: 0.0000 0.5000 0.5000  8 Pm 3.59-3.67, 4 Tb 3.66
Pm: 0.3587 0.3587 0.0000  4 Ag 3.22, 4 Pm 3.59
Pm: 0.5000 0.0000 0.5000  8 Pm 3.59-3.67, 4 Tb 3.66
Pm: 0.6413 0.6413 0.0000  4 Ag 3.22, 4 Pm 3.59
Ag: 0.2500 0.7500 0.5000  4 Tb 3.17, 4 Pm 3.22
Ag: 0.7500 0.2500 0.5000  4 Tb 3.17, 4 Pm 3.22